*A*
# GaSiSbTe2, relaxed, DFT PBE
# V = 30.08 Å³ per atom
# Total moment = 0.0 μB/cell
# Fermi-level density of states = 3.80 states/eV per cell
data_GaSiSbTe2
_chemical_formula_sum 'Ga1 Si1 Sb1 Te2'
_symmetry_space_group_name_H-M 'P 4/m m m'
_symmetry_Int_Tables_number 123
_symmetry_space_group_name_Hall '-P 4 2'
_cell_length_a 5.3515
_cell_length_b 5.3515
_cell_length_c 5.2512
_cell_angle_alpha 90.00
_cell_angle_beta 90.00
_cell_angle_gamma 90.00
loop_
_atom_site_label
_atom_site_type_symbol
_atom_site_fract_x
_atom_site_fract_y
_atom_site_fract_z
_atom_site_occupancy
Ga1 Ga 0.0000 0.0000 0.0000 1
Si1 Si 0.5000 0.5000 0.5000 1
Sb1 Sb 0.5000 0.5000 0.0000 1
Te1 Te 0.0000 0.5000 0.5000 1

*B*
# GaSiSbTe2, relaxed, DFT PBE
# V = 30.04 Å³ per atom
# Total moment = 0.0 μB/cell
# Fermi-level density of states = 4.84 states/eV per cell
data_GaSiSbTe2
_chemical_formula_sum 'Ga1 Si1 Sb1 Te2'
_symmetry_space_group_name_H-M 'P 4/m m m'
_symmetry_Int_Tables_number 123
_symmetry_space_group_name_Hall '-P 4 2'
_cell_length_a 5.3379
_cell_length_b 5.3379
_cell_length_c 5.2718
_cell_angle_alpha 90.00
_cell_angle_beta 90.00
_cell_angle_gamma 90.00
loop_
_atom_site_label
_atom_site_type_symbol
_atom_site_fract_x
_atom_site_fract_y
_atom_site_fract_z
_atom_site_occupancy
Ga1 Ga 0.0000 0.0000 0.0000 1
Si1 Si 0.5000 0.5000 0.5000 1
Sb1 Sb 0.0000 0.0000 0.5000 1
Te1 Te 0.0000 0.5000 0.0000 1

Most stable: *A*. Least stable: *B*.

*A*
# SmGaSb, relaxed, DFT PBE
# V = 25.03 Å³ per atom
# Total moment = 0.0 μB/cell
# Fermi-level density of states = 6.00 states/eV per cell
data_SmGaSb
_chemical_formula_sum 'Sm2 Ga2 Sb2'
_symmetry_space_group_name_H-M 'I 4 m m'
_symmetry_Int_Tables_number 107
_symmetry_space_group_name_Hall 'I 4 -2'
_cell_length_a 3.7762
_cell_length_b 3.7762
_cell_length_c 10.5319
_cell_angle_alpha 90.00
_cell_angle_beta 90.00
_cell_angle_gamma 90.00
loop_
_atom_site_label
_atom_site_type_symbol
_atom_site_fract_x
_atom_site_fract_y
_atom_site_fract_z
_atom_site_occupancy
Sm1 Sm 0.0000 0.0000 0.0000 1
Ga1 Ga 0.0000 0.0000 0.3128 1
Sb1 Sb 0.0000 0.0000 0.6906 1

*B*
# SmGaSb, relaxed, DFT PBE
# V = 26.03 Å³ per atom
# Total moment = 0.0 μB/cell
# Fermi-level density of states = 1.57 states/eV per cell
data_SmGaSb
_chemical_formula_sum 'Sm1 Ga1 Sb1'
_symmetry_space_group_name_H-M 'P 3 m 1'
_symmetry_Int_Tables_number 156
_symmetry_space_group_name_Hall 'P 3 -2"'
_cell_length_a 4.7432
_cell_length_b 4.7432
_cell_length_c 4.0076
_cell_angle_alpha 90.00
_cell_angle_beta 90.00
_cell_angle_gamma 120.00
loop_
_atom_site_label
_atom_site_type_symbol
_atom_site_fract_x
_atom_site_fract_y
_atom_site_fract_z
_atom_site_occupancy
Sm1 Sm 0.0000 0.0000 0.0000 1
Ga1 Ga 0.3333 0.6667 0.5842 1
Sb1 Sb 0.6667 0.3333 0.4710 1

Most stable: *B*. Least stable: *A*.

*A*
# SmGaSb2, relaxed, DFT PBE
# V = 26.86 Å³ per atom
# Total moment = 0.0 μB/cell
# Fermi-level density of states = 7.49 states/eV per cell
data_SmGaSb2
_chemical_formula_sum 'Sm4 Ga4 Sb8'
_symmetry_space_group_name_H-M 'C 1 2/m 1'
_symmetry_Int_Tables_number 12
_symmetry_space_group_name_Hall '-C 2y'
_cell_length_a 6.1491
_cell_length_b 6.1603
_cell_length_c 11.4174
_cell_angle_alpha 90.00
_cell_angle_beta 96.43
_cell_angle_gamma 90.00
loop_
_atom_site_label
_atom_site_type_symbol
_atom_site_fract_x
_atom_site_fract_y
_atom_site_fract_z
_atom_site_occupancy
Sm1 Sm 0.0466 0.0000 0.2180 1
Ga1 Ga 0.0000 0.2174 0.5000 1
Sb1 Sb 0.0644 0.5000 0.3067 1
Sb2 Sb 0.2500 0.2500 0.0000 1

*B*
# SmGaSb2, relaxed, DFT PBE
# V = 26.60 Å³ per atom
# Total moment = 0.0 μB/cell
# Fermi-level density of states = 9.37 states/eV per cell
data_SmGaSb2
_chemical_formula_sum 'Sm4 Ga4 Sb8'
_symmetry_space_group_name_H-M 'C 2 2 21'
_symmetry_Int_Tables_number 20
_symmetry_space_group_name_Hall 'C 2c 2'
_cell_length_a 4.3427
_cell_length_b 22.3253
_cell_length_c 4.3903
_cell_angle_alpha 90.00
_cell_angle_beta 90.00
_cell_angle_gamma 90.00
loop_
_atom_site_label
_atom_site_type_symbol
_atom_site_fract_x
_atom_site_fract_y
_atom_site_fract_z
_atom_site_occupancy
Sm1 Sm 0.0000 0.1382 0.2500 1
Ga1 Ga 0.1581 0.0000 0.0000 1
Sb1 Sb 0.0000 0.2496 0.7500 1
Sb2 Sb 0.0000 0.4074 0.2500 1

Most stable: *B*. Least stable: *A*.